# ZnBAsH | the Alexandria database | GGA-PBE | optimized geometry
# Calculated volume, Å³/f.u.: 62
# Magnetization, μB per formula unit: 0.00
# Energy above the lowest structure with this stoichiometry, meV per atom: 31
data_ZnBAsH
_chemical_formula_sum 'Zn2 B2 As2 H2'
_space_group_name_H-M_alt 'C 1 m 1'
_space_group_IT_number 8
_cell_length_a 5.793
_cell_length_b 3.338
_cell_length_c 6.661
_cell_angle_alpha 90.00
_cell_angle_beta 106.86
_cell_angle_gamma 90.00
loop_
_space_group_symop_operation_xyz
'x,y,z'
'x,-y,z'
'x+1/2,y+1/2,z'
'x+1/2,-y+1/2,z'
loop_
_atom_site_label
_atom_site_fract_x
_atom_site_fract_y
_atom_site_fract_z
Zn1 0.000 0.000 0.000
B1 0.332 0.500 0.496
As1 0.132 0.000 0.396
H1 0.400 0.500 0.696

# ZnBAsH | the Alexandria database | GGA-PBE | optimized geometry
# Calculated volume, Å³/f.u.: 61
# Magnetization, μB per formula unit: 0.00
# Energy above the lowest structure with this stoichiometry, meV per atom: 147
data_ZnBAsH
_chemical_formula_sum 'Zn1 B1 As1 H1'
_space_group_name_H-M_alt 'P 1'
_space_group_IT_number 1
_cell_length_a 3.366
_cell_length_b 3.369
_cell_length_c 6.528
_cell_angle_alpha 75.25
_cell_angle_beta 75.22
_cell_angle_gamma 60.04
loop_
_space_group_symop_operation_xyz
'x,y,z'
loop_
_atom_site_label
_atom_site_fract_x
_atom_site_fract_y
_atom_site_fract_z
Zn1 0.000 0.000 0.000
B1 0.117 0.109 0.659
As1 0.813 0.805 0.569
H1 0.907 0.906 0.277

calculated volume of number 2 (ZnBAsH)? 61 Å³/f.u.